[1]
# K3Na (GGA-PBEsol, relaxed)
data_K3Na
_chemical_formula_sum 'K3 Na1'
_symmetry_space_group_name_H-M 'P 1'
_symmetry_Int_Tables_number 1
_cell_length_a 6.2232
_cell_length_b 6.2232
_cell_length_c 6.2232
_cell_angle_alpha 90.00
_cell_angle_beta 90.00
_cell_angle_gamma 90.00
loop_
_symmetry_equiv_pos_as_xyz
'x,y,z'
loop_
_atom_site_label
_atom_site_type_symbol
_atom_site_fract_x
_atom_site_fract_y
_atom_site_fract_z
_atom_site_occupancy
K1 K 0.0000 0.0000 0.5000 1
K2 K 0.0000 0.5000 0.0000 1
K3 K 0.5000 0.0000 0.0000 1
Na1 Na 0.5000 0.5000 0.5000 1
# N(E_F) in states/eV/atom: 0.671
# V in A^3/atom: 60.3
# Energy relative to the elements in eV per formula unit: 0.07
# Symmetry: No. 221

[2]
# Ta3Cd (GGA-PBEsol, relaxed)
data_Ta3Cd
_chemical_formula_sum 'Ta3 Cd1'
_symmetry_space_group_name_H-M 'P 1'
_symmetry_Int_Tables_number 1
_cell_length_a 5.5504
_cell_length_b 5.5504
_cell_length_c 5.5504
_cell_angle_alpha 117.31
_cell_angle_beta 117.31
_cell_angle_gamma 117.31
loop_
_symmetry_equiv_pos_as_xyz
'x,y,z'
loop_
_atom_site_label
_atom_site_type_symbol
_atom_site_fract_x
_atom_site_fract_y
_atom_site_fract_z
_atom_site_occupancy
Ta1 Ta 0.0000 0.5000 0.5000 1
Ta2 Ta 0.5000 0.0000 0.5000 1
Ta3 Ta 0.5000 0.5000 0.0000 1
Cd1 Cd 0.0000 0.0000 0.0000 1
# N(E_F) in states/eV/atom: 0.822
# V in A^3/atom: 17.9
# Energy relative to the elements in eV per formula unit: 0.83
# Symmetry: No. 166

[3]
# La3MnFeS7 (GGA-PBEsol, relaxed)
data_La3MnFeS7
_chemical_formula_sum 'La6 Mn2 Fe2 S14'
_symmetry_space_group_name_H-M 'P 1'
_symmetry_Int_Tables_number 1
_cell_length_a 10.1372
_cell_length_b 10.1372
_cell_length_c 5.7514
_cell_angle_alpha 90.00
_cell_angle_beta 90.00
_cell_angle_gamma 120.00
loop_
_symmetry_equiv_pos_as_xyz
'x,y,z'
loop_
_atom_site_label
_atom_site_type_symbol
_atom_site_fract_x
_atom_site_fract_y
_atom_site_fract_z
_atom_site_occupancy
La1 La 0.1422 0.7639 0.0000 1
La2 La 0.2361 0.3784 0.0000 1
La3 La 0.3784 0.1422 0.5000 1
La4 La 0.6216 0.8578 0.0000 1
La5 La 0.7639 0.6216 0.5000 1
La6 La 0.8578 0.2361 0.5000 1
Mn1 Mn 0.0000 0.0000 0.2619 1
Mn2 Mn 0.0000 0.0000 0.7619 1
Fe1 Fe 0.3333 0.6667 0.4059 1
Fe2 Fe 0.6667 0.3333 0.9059 1
S1 S 0.0845 0.8578 0.5125 1
S2 S 0.0969 0.5147 0.2774 1
S3 S 0.1422 0.2267 0.5125 1
S4 S 0.2267 0.0845 0.0125 1
S5 S 0.3333 0.6667 0.7875 1
S6 S 0.4178 0.9031 0.2774 1
S7 S 0.4853 0.5822 0.2774 1
S8 S 0.5147 0.4178 0.7774 1
S9 S 0.5822 0.0969 0.7774 1
S10 S 0.6667 0.3333 0.2875 1
S11 S 0.7733 0.9155 0.5125 1
S12 S 0.8578 0.7733 0.0125 1
S13 S 0.9031 0.4853 0.7774 1
S14 S 0.9155 0.1422 0.0125 1
# N(E_F) in states/eV/atom: 0.385
# V in A^3/atom: 21.3
# Formation energy (no corrections) in eV per atom: -1.528
# Symmetry: No. 173

[4]
# Ta2HgMo (GGA-PBEsol, relaxed)
data_Ta2HgMo
_chemical_formula_sum 'Ta2 Hg1 Mo1'
_symmetry_space_group_name_H-M 'P 1'
_symmetry_Int_Tables_number 1
_cell_length_a 2.8177
_cell_length_b 2.8177
_cell_length_c 9.2237
_cell_angle_alpha 90.00
_cell_angle_beta 90.00
_cell_angle_gamma 107.14
loop_
_symmetry_equiv_pos_as_xyz
'x,y,z'
loop_
_atom_site_label
_atom_site_type_symbol
_atom_site_fract_x
_atom_site_fract_y
_atom_site_fract_z
_atom_site_occupancy
Ta1 Ta 0.0000 0.0000 0.0000 1
Ta2 Ta 0.5000 0.5000 0.2480 1
Hg1 Hg 0.0000 0.0000 0.5107 1
Mo1 Mo 0.5000 0.5000 0.7664 1
# N(E_F) in states/eV/atom: 0.930
# V in A^3/atom: 17.5
# Energy relative to the elements in eV per formula unit: 0.68
# Symmetry: No. 35

[5]
# AgBiIr2F (GGA-PBEsol, relaxed)
data_AgBiIr2F
_chemical_formula_sum 'Ag1 Bi1 Ir2 F1'
_symmetry_space_group_name_H-M 'P 1'
_symmetry_Int_Tables_number 1
_cell_length_a 4.2735
_cell_length_b 4.2735
_cell_length_c 4.7561
_cell_angle_alpha 90.00
_cell_angle_beta 90.00
_cell_angle_gamma 90.00
loop_
_symmetry_equiv_pos_as_xyz
'x,y,z'
loop_
_atom_site_label
_atom_site_type_symbol
_atom_site_fract_x
_atom_site_fract_y
_atom_site_fract_z
_atom_site_occupancy
Ag1 Ag 0.0000 0.0000 0.0000 1
Bi1 Bi 0.5000 0.5000 0.0000 1
Ir1 Ir 0.0000 0.5000 0.5000 1
Ir2 Ir 0.5000 0.0000 0.5000 1
F1 F 0.5000 0.5000 0.5000 1
# N(E_F) in states/eV/atom: 1.090
# V in A^3/atom: 17.4
# Formation energy (no corrections) in eV per atom: 0.949
# Symmetry: No. 123

[6]
# TiZnPdN2 (GGA-PBEsol, relaxed)
data_TiZnPdN2
_chemical_formula_sum 'Ti1 Zn1 Pd1 N2'
_symmetry_space_group_name_H-M 'P 1'
_symmetry_Int_Tables_number 1
_cell_length_a 3.7787
_cell_length_b 3.7787
_cell_length_c 5.2045
_cell_angle_alpha 90.00
_cell_angle_beta 90.00
_cell_angle_gamma 90.00
loop_
_symmetry_equiv_pos_as_xyz
'x,y,z'
loop_
_atom_site_label
_atom_site_type_symbol
_atom_site_fract_x
_atom_site_fract_y
_atom_site_fract_z
_atom_site_occupancy
Ti1 Ti 0.0000 0.0000 0.0000 1
Zn1 Zn 0.0000 0.0000 0.5000 1
Pd1 Pd 0.5000 0.5000 0.5000 1
N1 N 0.0000 0.5000 0.0000 1
N2 N 0.5000 0.0000 0.0000 1
# N(E_F) in states/eV/atom: 0.636
# V in A^3/atom: 14.9
# Formation energy (no corrections) in eV per atom: 0.587
# Symmetry: No. 123